A plane-wave DFT calculation with PBE was carried out for an optimized crystal structure of ScSbTe2I.

a b c (Å): 5.7924 5.7924 5.7410
angles (deg): 90.00 90.00 90.00
Last column: nearest neighbours and their distance in Å.
Space group P4/mmm (No. 123)
Symmetry-distinct sites (fractional):
Sc 0.0000 0.0000 0.0000 [1 per cell]  8 Te 4.08, 4 I 4.10
Sb 0.5000 0.5000 0.5000 [1 per cell]  2 I 2.87, 4 Te 2.90
Te 0.0000 0.5000 0.5000 [2 per cell]  2 Sb 2.90
I 0.5000 0.5000 0.0000 [1 per cell]  2 Sb 2.87

Computed properties:
Raw total energy (eV/atom): -3.34
Size of the total moment (μB/cell): 0.86
Calculated volume (Å³ per cell): 193
Energy above the most stable polymorph in this dataset (meV per atom): 460.1
Energy relative to the elements, uncorrected (meV/atom): 317

=====

A plane-wave DFT calculation with PBE was carried out for an optimized crystal structure of Sr2CaTl.

a b c (Å): 4.0747 4.0747 36.0046
angles (deg): 90.00 90.00 120.00
Last column: nearest neighbours and their distance in Å.
Space group R-3m (No. 166, hexagonal axes)
Symmetry-distinct sites (fractional):
Sr 0.0000 0.0000 0.2384 [6 per cell]  3 Tl 3.49
Ca 0.0000 0.0000 0.0000 [3 per cell]  6 Ca 4.07, 6 Sr 4.15
Tl 0.0000 0.0000 0.5000 [3 per cell]  6 Sr 3.49

Computed properties:
Raw total energy (eV/atom): -2.05
Size of the total moment (μB/cell): 0.00
ΔH_f (0 K) (eV/atom): -0.12
Calculated volume (Å³ per cell): 518
Energy above the most stable polymorph in this dataset (meV per atom): 111.3

=====

A plane-wave DFT calculation with PBE was carried out for an optimized crystal structure of BaTlAgPb.

a b c (Å): 7.9042 7.9042 7.9042
angles (deg): 90.00 90.00 90.00
Last column: nearest neighbours and their distance in Å.
Space group F-43m (No. 216)
Symmetry-distinct sites (fractional):
Ba 0.0000 0.0000 0.0000 [4 per cell]  4 Tl 3.42, 4 Ag 3.42
Tl 0.2500 0.2500 0.2500 [4 per cell]  4 Ba 3.42, 4 Pb 3.42
Ag 0.2500 0.2500 0.7500 [4 per cell]  4 Ba 3.42, 4 Pb 3.42
Pb 0.0000 0.0000 0.5000 [4 per cell]  4 Tl 3.42, 4 Ag 3.42

Computed properties:
Raw total energy (eV/atom): -2.95
Size of the total moment (μB/cell): 0.00
ΔH_f (0 K) (eV/atom): -0.23
Calculated volume (Å³ per cell): 494

=====

A plane-wave DFT calculation with PBE was carried out for an optimized crystal structure of BeCu2Pb.

a b c (Å): 5.4359 5.5935 3.9757
angles (deg): 90.00 90.00 90.00
Last column: nearest neighbours and their distance in Å.
Space group Cmmm (No. 65)
Symmetry-distinct sites (fractional):
Be 0.0000 0.0000 0.0000 [2 per cell]  4 Pb 2.72-2.80, 8 Cu 2.78
Cu 0.2500 0.2500 0.5000 [4 per cell]  4 Cu 2.72-2.80, 4 Pb 2.78, 4 Be 2.78
Pb 0.0000 0.5000 0.0000 [2 per cell]  4 Be 2.72-2.80, 8 Cu 2.78

Computed properties:
Raw total energy (eV/atom): -3.48
Size of the total moment (μB/cell): 0.00
ΔH_f (0 K) (eV/atom): 0.42
Calculated volume (Å³ per cell): 121
Energy above the most stable polymorph in this dataset (meV per atom): 179.5

=====

A plane-wave DFT calculation with PBE was carried out for an optimized crystal structure of Ba5Pb2I2.

a b c (Å): 17.7649 9.8940 9.9156
angles (deg): 90.00 90.00 90.00
Last column: nearest neighbours and their distance in Å.
Space group Cmce (No. 64)
Symmetry-distinct sites (fractional):
Ba 0.0000 0.0000 0.0000 [4 per cell]  2 I 3.63, 4 Pb 3.73
Ba 0.1171 0.1452 0.3579 [16 per cell]  3 Pb 3.47-3.65, 1 I 3.76
Pb 0.0000 0.1579 0.6579 [8 per cell]  8 Ba 3.47-3.73
I 0.2044 0.0000 0.0000 [8 per cell]  3 Ba 3.63-3.76

Computed properties:
Raw total energy (eV/atom): -3.18
Size of the total moment (μB/cell): 0.00
Calculated volume (Å³ per cell): 1743
Energy relative to the elements, uncorrected (meV/atom): -940

=====

A plane-wave DFT calculation with PBE was carried out for an optimized crystal structure of Ta5Mn4Cr.

a b c (Å): 3.0683 3.0683 15.3703
angles (deg): 90.00 90.00 90.00
Last column: nearest neighbours and their distance in Å.
Space group P4/mmm (No. 123)
Symmetry-distinct sites (fractional):
Ta 0.0000 0.0000 0.0000 [1 per cell]  8 Mn 2.65
Ta 0.0000 0.0000 0.1993 [2 per cell]  8 Mn 2.65-2.66
Ta 0.0000 0.0000 0.3988 [2 per cell]  4 Mn 2.67, 4 Cr 2.67
Mn 0.5000 0.5000 0.0994 [2 per cell]  8 Ta 2.65-2.66
Mn 0.5000 0.5000 0.2979 [2 per cell]  8 Ta 2.65-2.67
Cr 0.5000 0.5000 0.5000 [1 per cell]  8 Ta 2.67

Computed properties:
Raw total energy (eV/atom): -10.76
Size of the total moment (μB/cell): 0.48
ΔH_f (0 K) (eV/atom): -0.21
Calculated volume (Å³ per cell): 145

=====

A plane-wave DFT calculation with PBE was carried out for an optimized crystal structure of V3FeIr6.

a b c (Å): 7.2157 4.3266 9.4096
angles (deg): 90.00 109.80 90.00
Last column: nearest neighbours and their distance in Å.
Space group P2_1/m (No. 11)
Symmetry-distinct sites (fractional):
V 0.0880 0.2500 0.2357 [2 per cell]  8 Ir 2.60-2.78, 1 Fe 2.63, 3 V 2.74-2.84
V 0.2989 0.2500 0.0300 [2 per cell]  11 Ir 2.66-2.76, 1 V 2.84
V 0.3096 0.7500 0.3714 [2 per cell]  9 Ir 2.65-2.74, 2 V 2.74, 1 Fe 2.77
Fe 0.0942 0.7500 0.5654 [2 per cell]  8 Ir 2.59-2.77, 2 V 2.63-2.77, 2 Fe 2.63
Ir 0.0886 0.2500 0.7243 [2 per cell]  3 Fe 2.59-2.64, 4 V 2.60-2.76, 5 Ir 2.70-2.78
Ir 0.1077 0.7500 0.0716 [2 per cell]  7 V 2.67-2.76, 5 Ir 2.67-2.75
Ir 0.2870 0.2500 0.5271 [2 per cell]  3 Fe 2.59-2.66, 4 V 2.63-2.74, 5 Ir 2.70-2.76
Ir 0.2976 0.7500 0.8654 [2 per cell]  4 V 2.62-2.74, 7 Ir 2.68-2.73, 1 Fe 2.70
Ir 0.4976 0.2500 0.3306 [2 per cell]  5 V 2.65-2.78, 6 Ir 2.66-2.76, 1 Fe 2.77
Ir 0.4987 0.2500 0.8331 [2 per cell]  8 Ir 2.66-2.78, 4 V 2.68-2.72

Computed properties:
Raw total energy (eV/atom): -9.32
Size of the total moment (μB/cell): 1.42
ΔH_f (0 K) (eV/atom): -0.42
Calculated volume (Å³ per cell): 276

=====

Among the records above, which one has the lowest raw total energy? Ta5Mn4Cr